No. 1
PrMgSi2: optimized geometry, PBEsol.

a b c (Å): 18.5654 18.5654 18.5654
angles (deg): 166.91 166.91 18.55
Last column: nearest neighbours and their distance in Å.
Fractional positions:
Pr 0.2973 0.5473 0.7500  10 Si 3.10-3.23
Pr 0.4527 0.7027 0.7500  10 Si 3.10-3.23
Pr 0.5473 0.2973 0.2500  10 Si 3.10-3.23
Pr 0.7027 0.4527 0.2500  10 Si 3.10-3.23
Mg 0.1250 0.3750 0.7500  4 Si 2.74, 4 Mg 2.99
Mg 0.3750 0.1250 0.2500  4 Si 2.74, 4 Mg 2.99
Mg 0.6250 0.8750 0.7500  4 Si 2.74, 4 Mg 2.99
Mg 0.8750 0.6250 0.2500  4 Si 2.74, 4 Mg 2.99
Si 0.0143 0.7643 0.2500  3 Si 2.31-2.36
Si 0.0774 0.8274 0.2500  1 Si 2.31
Si 0.1726 0.9226 0.2500  1 Si 2.31
Si 0.2357 0.9857 0.2500  3 Si 2.31-2.36
Si 0.7643 0.0143 0.7500  3 Si 2.31-2.36
Si 0.8274 0.0774 0.7500  1 Si 2.31
Si 0.9226 0.1726 0.7500  1 Si 2.31
Si 0.9857 0.2357 0.7500  3 Si 2.31-2.36

Values from the calculation:
- Total energy: -20.7 eV per formula unit
- N(E_F): 3.76 states/eV per cell

***

No. 2
PrSmMg2: optimized geometry, PBEsol.

a b c (Å): 5.4092 5.4092 5.4092
angles (deg): 60.00 60.00 60.00
Last column: nearest neighbours and their distance in Å.
Fractional positions:
Pr 0.0000 0.0000 0.0000  8 Mg 3.31
Sm 0.5000 0.5000 0.5000  8 Mg 3.31
Mg 0.2500 0.2500 0.2500  4 Pr 3.31, 4 Sm 3.31
Mg 0.7500 0.7500 0.7500  4 Sm 3.31, 4 Pr 3.31

Values from the calculation:
- Total energy: -14.1 eV per formula unit
- N(E_F): 3.88 states/eV per cell

***

No. 3
PrMgTl: optimized geometry, PBEsol.

a b c (Å): 7.6739 7.6739 4.7247
angles (deg): 90.00 90.00 120.00
Last column: nearest neighbours and their distance in Å.
Fractional positions:
Pr 0.0000 0.4265 0.0000  5 Tl 3.27-3.29, 2 Mg 3.47
Pr 0.4265 0.0000 0.0000  5 Tl 3.27-3.29, 2 Mg 3.47
Pr 0.5735 0.5735 0.0000  5 Tl 3.27-3.29, 2 Mg 3.47
Mg 0.0000 0.7572 0.5000  4 Tl 2.97-3.01, 2 Mg 3.23
Mg 0.2428 0.2428 0.5000  4 Tl 2.97-3.01, 2 Mg 3.23
Mg 0.7572 0.0000 0.5000  4 Tl 2.97-3.01, 2 Mg 3.23
Tl 0.0000 0.0000 0.0000  6 Mg 3.01, 3 Pr 3.27
Tl 0.3333 0.6667 0.5000  3 Mg 2.97, 6 Pr 3.29
Tl 0.6667 0.3333 0.5000  3 Mg 2.97, 6 Pr 3.29

Values from the calculation:
- Total energy: -10.8 eV per formula unit
- N(E_F): 1.26 states/eV per cell

***

No. 4
Pr2MgTl: optimized geometry, PBEsol.

a b c (Å): 5.4534 5.4534 5.4534
angles (deg): 60.00 60.00 60.00
Last column: nearest neighbours and their distance in Å.
Fractional positions:
Pr 0.2500 0.2500 0.2500  4 Tl 3.34, 4 Mg 3.34
Pr 0.7500 0.7500 0.7500  4 Mg 3.34, 4 Tl 3.34
Mg 0.0000 0.0000 0.0000  8 Pr 3.34
Tl 0.5000 0.5000 0.5000  8 Pr 3.34

Values from the calculation:
- Total energy: -15.9 eV per formula unit
- N(E_F): 4.12 states/eV per cell

***

No. 5
PrMgTl2: optimized geometry, PBEsol.

a b c (Å): 5.2933 5.2933 5.2933
angles (deg): 60.00 60.00 60.00
Last column: nearest neighbours and their distance in Å.
Fractional positions:
Pr 0.0000 0.0000 0.0000  8 Tl 3.24
Mg 0.5000 0.5000 0.5000  8 Tl 3.24
Tl 0.2500 0.2500 0.2500  4 Mg 3.24, 4 Pr 3.24
Tl 0.7500 0.7500 0.7500  4 Mg 3.24, 4 Pr 3.24

Values from the calculation:
- Total energy: -13.4 eV per formula unit
- N(E_F): 1.78 states/eV per cell

***

No. 6
PrYMg2: optimized geometry, PBEsol.

a b c (Å): 5.3811 5.3811 5.3811
angles (deg): 60.00 60.00 60.00
Last column: nearest neighbours and their distance in Å.
Fractional positions:
Pr 0.0000 0.0000 0.0000  8 Mg 3.30
Y 0.5000 0.5000 0.5000  8 Mg 3.30
Mg 0.2500 0.2500 0.2500  4 Y 3.30, 4 Pr 3.30
Mg 0.7500 0.7500 0.7500  4 Pr 3.30, 4 Y 3.30

Values from the calculation:
- N(E_F): 4.09 states/eV per cell
- Distance to the lowest polymorph of the same formula: 0 meV per atom

***

No. 7
PrYMg4: optimized geometry, PBEsol.

a b c (Å): 6.0388 6.0388 6.0388
angles (deg): 60.00 60.00 60.00
Last column: nearest neighbours and their distance in Å.
Fractional positions:
Pr 0.0000 0.0000 0.0000  12 Mg 3.54, 4 Y 3.70
Y 0.7500 0.7500 0.7500  12 Mg 3.54, 4 Pr 3.70
Mg 0.3751 0.3751 0.3751  6 Mg 3.02
Mg 0.3751 0.3751 0.8747  6 Mg 3.02
Mg 0.3751 0.8747 0.3751  6 Mg 3.02
Mg 0.8747 0.3751 0.3751  6 Mg 3.02

Values from the calculation:
- Total energy: -19.4 eV per formula unit
- N(E_F): 5.82 states/eV per cell

***

No. 8
PrYMg2: optimized geometry, PBEsol.

a b c (Å): 3.8008 3.8008 7.6245
angles (deg): 90.00 90.00 90.00
Last column: nearest neighbours and their distance in Å.
Fractional positions:
Pr 0.0000 0.0000 0.0000  8 Mg 3.34
Y 0.0000 0.0000 0.5000  8 Mg 3.25
Mg 0.5000 0.5000 0.2594  4 Y 3.25, 4 Pr 3.34
Mg 0.5000 0.5000 0.7406  4 Y 3.25, 4 Pr 3.34

Values from the calculation:
- N(E_F): 4.44 states/eV per cell
- Distance to the lowest polymorph of the same formula: 9 meV per atom

***

Question: Among the records above, which one has the lowest N(E_F)?
Answer: PrMgTl

***

Question: The highest N(E_F) belongs to which entry?
Answer: PrYMg4